Entry 1:
DFT (GGA-PBEsol) results for a relaxed structure of SrSiBAu2.

Unit cell a=4.4319 b=4.4319 c=4.6749 alpha=90.00 beta=90.00 gamma=90.00
Positions (direct):
Sr: 0.5000 0.5000 0.5000
Si: 0.0000 0.0000 0.5000
B: 0.0000 0.0000 0.0000
Au: 0.0000 0.5000 0.0000
Au: 0.5000 0.0000 0.0000

## Properties
E_form (uncorrected): 0.007 eV/atom
Calculated volume: 18.36 Å³/atom
Size of the total moment: 0.00 μB per formula unit
Density: 9.41 g/cm3

---

Entry 2:
DFT (GGA-PBEsol) results for a relaxed structure of BeFeAg2.

Unit cell a=2.7152 b=2.7152 c=8.6033 alpha=80.92 beta=80.92 gamma=60.00
Site moments in Bohr magnetons follow the coordinates.
Positions (direct):
Be: 0.5000 0.5000 0.5000  -0.01
Fe: 0.0000 0.0000 0.0000  2.77
Ag: 0.2440 0.2440 0.2680  0.00
Ag: 0.7560 0.7560 0.7320  0.00

## Properties
DFT formation energy: 0.343 eV per atom
Calculated volume: 13.50 Å³/atom
Size of the total moment: 2.75 μB per formula unit
Density: 8.63 g/cm3

---

Entry 3:
DFT (GGA-PBEsol) results for a relaxed structure of LaNb8O14.

Unit cell a=5.9919 b=9.1155 c=10.3333 alpha=90.00 beta=90.00 gamma=90.00
Positions (direct):
La: 0.5000 0.0000 0.0000
La: 0.5000 0.5000 0.5000
Nb: 0.2678 0.1272 0.4230
Nb: 0.7322 0.8728 0.5770
Nb: 0.2678 0.8728 0.5770
Nb: 0.7322 0.3728 0.9230
Nb: 0.7322 0.1272 0.4230
Nb: 0.2678 0.6272 0.0770
Nb: 0.7322 0.6272 0.0770
Nb: 0.2678 0.3728 0.9230
Nb: 0.5000 0.3789 0.1637
Nb: 0.5000 0.6211 0.8363
Nb: 0.5000 0.1211 0.6637
Nb: 0.5000 0.8789 0.3363
Nb: 0.0000 0.1127 0.1659
Nb: 0.0000 0.8873 0.8341
Nb: 0.0000 0.3873 0.6659
Nb: 0.0000 0.6127 0.3341
O: 0.0000 0.2388 0.3205
O: 0.0000 0.7612 0.6795
O: 0.0000 0.2612 0.8205
O: 0.0000 0.7388 0.1795
O: 0.2625 0.2307 0.0827
O: 0.7375 0.7693 0.9173
O: 0.2625 0.7693 0.9173
O: 0.7375 0.2693 0.5827
O: 0.7375 0.2307 0.0827
O: 0.2625 0.7307 0.4173
O: 0.7375 0.7307 0.4173
O: 0.2625 0.2693 0.5827
O: 0.0000 0.0000 0.5000
O: 0.0000 0.5000 0.0000
O: 0.5000 0.2740 0.3536
O: 0.5000 0.7260 0.6464
O: 0.5000 0.2260 0.8536
O: 0.5000 0.7740 0.1464
O: 0.2559 0.0021 0.2474
O: 0.7441 0.9979 0.7526
O: 0.2559 0.9979 0.7526
O: 0.7441 0.4979 0.7474
O: 0.7441 0.0021 0.2474
O: 0.2559 0.5021 0.2526
O: 0.7441 0.5021 0.2526
O: 0.2559 0.4979 0.7474
O: 0.0000 0.0000 0.0000
O: 0.0000 0.5000 0.5000

## Properties
E_form (uncorrected): -2.481 eV/atom
Calculated volume: 12.27 Å³/atom
Size of the total moment: 0.00 μB per formula unit
Density: 6.51 g/cm3

---

Entry 4:
DFT (GGA-PBEsol) results for a relaxed structure of Cd2TcCl.

Unit cell a=3.1311 b=3.1311 c=8.8497 alpha=79.81 beta=79.81 gamma=60.00
Site moments in Bohr magnetons follow the coordinates.
Positions (direct):
Cl: 0.5000 0.5000 0.5000  0.00
Tc: 0.0000 0.0000 0.0000  0.97
Cd: 0.2511 0.2511 0.2466  0.00
Cd: 0.7489 0.7489 0.7534  0.00

## Properties
E_form (uncorrected): 0.215 eV/atom
Calculated volume: 18.39 Å³/atom
Energy above the lowest structure with this stoichiometry: 0.117 eV per atom
Size of the total moment: 1.02 μB per formula unit
Density: 8.09 g/cm3

---

Entry 5:
DFT (GGA-PBEsol) results for a relaxed structure of CoIr4Pb.

Unit cell a=5.1991 b=5.1991 c=5.1991 alpha=60.00 beta=60.00 gamma=60.00
Site moments in Bohr magnetons follow the coordinates.
Positions (direct):
Co: 0.0000 0.0000 0.0000  2.15
Ir: 0.3745 0.3745 0.3745  0.44
Ir: 0.3745 0.3745 0.8764  0.44
Ir: 0.8764 0.3745 0.3745  0.44
Ir: 0.3745 0.8764 0.3745  0.44
Pb: 0.7500 0.7500 0.7500  0.07

## Properties
DFT formation energy: 0.724 eV per atom
Calculated volume: 16.56 Å³/atom
Size of the total moment: 3.97 μB per formula unit
Density: 17.30 g/cm3

---

Entry 6:
DFT (GGA-PBEsol) results for a relaxed structure of LiFeMo4.

Unit cell a=5.0996 b=5.0996 c=5.0996 alpha=60.00 beta=60.00 gamma=60.00
Site moments in Bohr magnetons follow the coordinates.
Positions (direct):
Fe: 0.7500 0.7500 0.7500  2.25
Li: 0.0000 0.0000 0.0000  -0.01
Mo: 0.3741 0.3741 0.3741  -0.16
Mo: 0.3741 0.3741 0.8777  -0.16
Mo: 0.8777 0.3741 0.3741  -0.16
Mo: 0.3741 0.8777 0.3741  -0.16

## Properties
DFT formation energy: 0.640 eV per atom
Calculated volume: 15.63 Å³/atom
Size of the total moment: 1.46 μB per formula unit
Density: 7.91 g/cm3

---

Entry 7:
DFT (GGA-PBEsol) results for a relaxed structure of Li4CuOs.

Unit cell a=4.6435 b=4.6435 c=4.6435 alpha=60.00 beta=60.00 gamma=60.00
Site moments in Bohr magnetons follow the coordinates.
Positions (direct):
Cu: 0.0000 0.0000 0.0000  0.02
Li: 0.3760 0.3760 0.3760  0.00
Li: 0.3760 0.3760 0.8720  0.00
Li: 0.8720 0.3760 0.3760  0.00
Li: 0.3760 0.8720 0.3760  0.00
Os: 0.7500 0.7500 0.7500  0.23

## Properties
DFT formation energy: 0.479 eV per atom
Calculated volume: 11.80 Å³/atom
Size of the total moment: 0.26 μB per formula unit
Density: 6.60 g/cm3

---

Entry 8:
DFT (GGA-PBEsol) results for a relaxed structure of TiCoCu2Au.

Unit cell a=4.4458 b=4.4458 c=4.7738 alpha=90.00 beta=90.00 gamma=90.00
Site moments in Bohr magnetons follow the coordinates.
Positions (direct):
Co: 0.5000 0.5000 0.5000  2.12
Au: 0.0000 0.0000 0.5000  0.06
Cu: 0.0000 0.5000 0.0000  0.07
Cu: 0.5000 0.0000 0.0000  0.07
Ti: 0.0000 0.0000 0.0000  0.83

## Properties
DFT formation energy: 1.554 eV per atom
Calculated volume: 18.87 Å³/atom
Size of the total moment: 3.22 μB per formula unit
Density: 7.58 g/cm3

---

Entry 9:
DFT (GGA-PBEsol) results for a relaxed structure of SrTe2.

Unit cell a=4.3823 b=7.9471 c=11.0294 alpha=90.00 beta=90.00 gamma=90.00
Positions (direct):
Sr: 0.7500 0.8069 0.1481
Sr: 0.2500 0.6931 0.6481
Sr: 0.7500 0.3069 0.3519
Sr: 0.2500 0.1931 0.8519
Te: 0.7500 0.3788 0.6617
Te: 0.2500 0.1212 0.1617
Te: 0.7500 0.8788 0.8383
Te: 0.2500 0.6212 0.3383
Te: 0.7500 0.3900 0.0471
Te: 0.2500 0.1100 0.5471
Te: 0.7500 0.8900 0.4529
Te: 0.2500 0.6100 0.9529

## Properties
E_form (uncorrected): -1.147 eV/atom
Calculated volume: 32.01 Å³/atom
Size of the total moment: 0.00 μB per formula unit
Density: 5.93 g/cm3

---

Entry 10:
DFT (GGA-PBEsol) results for a relaxed structure of SmMoClO4.

Unit cell a=6.3326 b=6.3326 c=6.8673 alpha=76.23 beta=76.23 gamma=71.05
Positions (direct):
Sm: 0.2222 0.2222 0.8898
Sm: 0.7778 0.7778 0.1102
Mo: 0.6381 0.6381 0.7326
Mo: 0.3619 0.3619 0.2674
Cl: 0.0091 0.0091 0.2381
Cl: 0.9909 0.9909 0.7619
O: 0.4883 0.1153 0.1516
O: 0.7063 0.7063 0.4693
O: 0.4612 0.4612 0.7955
O: 0.2937 0.2937 0.5307
O: 0.5388 0.5388 0.2045
O: 0.8847 0.5117 0.8484
O: 0.5117 0.8847 0.8484
O: 0.1153 0.4883 0.1516

## Properties
E_form (uncorrected): -2.510 eV/atom
Calculated volume: 17.79 Å³/atom
Size of the total moment: 0.00 μB per formula unit
Density: 4.61 g/cm3

---

Entry 11:
DFT (GGA-PBEsol) results for a relaxed structure of ScTlMo.

Unit cell a=2.9703 b=2.9703 c=7.0590 alpha=99.19 beta=99.19 gamma=103.96
Positions (direct):
Mo: 0.9961 0.9961 0.9923
Sc: 0.3432 0.3432 0.6864
Tl: 0.6607 0.6607 0.3213

## Properties
DFT formation energy: 0.250 eV per atom
Calculated volume: 19.46 Å³/atom
Energy above the lowest structure with this stoichiometry: 0.000 eV per atom
Size of the total moment: 0.00 μB per formula unit
Density: 9.82 g/cm3

---

Entry 12:
DFT (GGA-PBEsol) results for a relaxed structure of MnTcPb.

Unit cell a=4.3911 b=4.3911 c=4.3911 alpha=60.00 beta=60.00 gamma=60.00
Site moments in Bohr magnetons follow the coordinates.
Positions (direct):
Mn: 0.5000 0.5000 0.5000  3.58
Pb: 0.2500 0.2500 0.2500  -0.08
Tc: 0.0000 0.0000 0.0000  0.91

## Properties
DFT formation energy: 1.152 eV per atom
Calculated volume: 19.96 Å³/atom
Energy above the lowest structure with this stoichiometry: 0.613 eV per atom
Size of the total moment: 4.66 μB per formula unit
Density: 9.99 g/cm3